[1]
Compound: K2CuBr5
Source: Alexandria
Functional: PBE
Structure: optimized geometry

Summary:
The symmetry is Cmcm. As for the formation energy without anion corrections: -0.8802 eV/atom. Its offset from the most stable computed form is 0.084 eV per atom.

a = 6.4855 Å, b = 8.0640 Å, c = 13.3871 Å
α = 90.00°, β = 90.00°, γ = 113.71°
Sites, in units of the cell vectors:
1 K 0.8315 0.6630 0.4112
2 K 0.8315 0.6630 0.0888
3 K 0.1685 0.3370 0.5888
4 K 0.1685 0.3370 0.9112
5 Cu 0.8311 0.6622 0.7500
6 Cu 0.1689 0.3378 0.2500
7 Br 0.9456 0.8912 0.8761
8 Br 0.9456 0.8912 0.6239
9 Br 0.2858 0.5715 0.3761
10 Br 0.2858 0.5715 0.1239
11 Br 0.6735 0.3469 0.2500
12 Br 0.3265 0.6531 0.7500
13 Br 0.7142 0.4285 0.6239
14 Br 0.7142 0.4285 0.8761
15 Br 0.0544 0.1088 0.1239
16 Br 0.0544 0.1088 0.3761



[2]
Compound: K2Cu2Br5
Source: Alexandria
Functional: PBE
Structure: optimized geometry

Summary:
The symmetry is Ima2. As for the formation energy without anion corrections: -0.9303 eV/atom. Its offset from the most stable computed form is 0.000 eV per atom.

a = 7.1175 Å, b = 7.0927 Å, c = 12.0604 Å
α = 107.10°, β = 107.16°, γ = 90.00°
Sites, in units of the cell vectors:
1 K 0.1174 0.6049 0.2209
2 K 0.8826 0.3840 0.7791
3 K 0.6035 0.1049 0.2209
4 K 0.3965 0.8840 0.7791
5 Cu 0.0000 0.9895 0.0000
6 Cu 0.5000 0.4895 0.0000
7 Cu 0.1675 0.2862 0.5000
8 Cu 0.8325 0.7862 0.5000
9 Br 0.2489 0.7386 0.9958
10 Br 0.7511 0.7428 0.0042
11 Br 0.2469 0.2386 0.9958
12 Br 0.7531 0.2428 0.0042
13 Br 0.1671 0.1234 0.2933
14 Br 0.8329 0.8301 0.7067
15 Br 0.6262 0.6234 0.2933
16 Br 0.3738 0.3301 0.7067
17 Br 0.1494 0.6367 0.5000
18 Br 0.8506 0.1367 0.5000



[3]
Compound: K5CuBr8
Source: Alexandria
Functional: PBE
Structure: optimized geometry

Summary:
The symmetry is I-4. As for the formation energy without anion corrections: -1.2306 eV/atom.

a = 8.7713 Å, b = 8.7713 Å, c = 8.7713 Å
α = 112.92°, β = 102.77°, γ = 112.92°
Sites, in units of the cell vectors:
1 K 0.0272 0.4210 0.1693
2 K 0.8307 0.8579 0.2516
3 K 0.7484 0.5790 0.6063
4 K 0.5000 0.0000 0.5000
5 K 0.3937 0.1421 0.9728
6 Cu 0.2500 0.5000 0.7500
7 Br 0.1680 0.6910 0.9505
8 Br 0.0495 0.2175 0.7405
9 Br 0.7200 0.1984 0.3038
10 Br 0.6962 0.4162 0.8946
11 Br 0.4784 0.5838 0.2800
12 Br 0.5230 0.7825 0.8320
13 Br 0.2595 0.3090 0.4770
14 Br 0.1054 0.8016 0.5216



[4]
Compound: K2CuBr3
Source: Alexandria
Functional: PBE
Structure: optimized geometry

Summary:
The symmetry is Pnma. As for the formation energy without anion corrections: -1.2475 eV/atom. Its offset from the most stable computed form is 0.000 eV per atom.

a = 4.3736 Å, b = 12.8557 Å, c = 13.3917 Å
α = 90.00°, β = 90.00°, γ = 90.00°
Sites, in units of the cell vectors:
1 K 0.2500 0.1771 0.5155
2 K 0.2500 0.5109 0.3217
3 K 0.7500 0.8229 0.4845
4 K 0.7500 0.4891 0.6783
5 K 0.7500 0.9891 0.8217
6 K 0.2500 0.6771 0.9845
7 K 0.7500 0.3229 0.0155
8 K 0.2500 0.0109 0.1783
9 Br 0.7500 0.7268 0.7888
10 Br 0.7500 0.2268 0.7112
11 Br 0.2500 0.4394 0.8615
12 Br 0.2500 0.9394 0.6385
13 Br 0.2500 0.7732 0.2888
14 Br 0.2500 0.2732 0.2112
15 Br 0.2500 0.6328 0.5547
16 Br 0.2500 0.1328 0.9453
17 Br 0.7500 0.0606 0.3615
18 Br 0.7500 0.8672 0.0547
19 Br 0.7500 0.3672 0.4453
20 Br 0.7500 0.5606 0.1385
21 Cu 0.7500 0.7441 0.1965
22 Cu 0.7500 0.2441 0.3035
23 Cu 0.2500 0.2559 0.8035
24 Cu 0.2500 0.7559 0.6965



[5]
Compound: K4CuBr6
Source: Alexandria
Functional: PBE
Structure: optimized geometry

Summary:
The symmetry is P4/mnc. As for the formation energy without anion corrections: -1.3089 eV/atom.

a = 9.0124 Å, b = 9.0124 Å, c = 9.0454 Å
α = 90.00°, β = 90.00°, γ = 90.00°
Sites, in units of the cell vectors:
1 K 0.3357 0.1643 0.2500
2 K 0.1643 0.6643 0.7500
3 K 0.6643 0.8357 0.7500
4 K 0.8357 0.3357 0.7500
5 K 0.3357 0.1643 0.7500
6 K 0.1643 0.6643 0.2500
7 K 0.8357 0.3357 0.2500
8 K 0.6643 0.8357 0.2500
9 Cu 0.5000 0.5000 0.0000
10 Cu 0.0000 0.0000 0.5000
11 Br 0.3050 0.8949 0.5000
12 Br 0.8050 0.6051 0.0000
13 Br 0.6051 0.1950 0.0000
14 Br 0.1051 0.3050 0.5000
15 Br 0.0000 0.0000 0.2352
16 Br 0.5000 0.5000 0.2648
17 Br 0.3949 0.8050 0.0000
18 Br 0.0000 0.0000 0.7648
19 Br 0.1950 0.3949 0.0000
20 Br 0.5000 0.5000 0.7352
21 Br 0.8949 0.6950 0.5000
22 Br 0.6950 0.1051 0.5000



[6]
Compound: K2CuBr3
Source: Alexandria
Functional: PBE
Structure: optimized geometry

Summary:
The symmetry is C2/c. As for the formation energy without anion corrections: -1.2367 eV/atom. Its offset from the most stable computed form is 0.011 eV per atom.

a = 8.6346 Å, b = 7.6212 Å, c = 7.6212 Å
α = 63.62°, β = 70.28°, γ = 70.28°
Sites, in units of the cell vectors:
1 K 0.6630 0.1576 0.5265
2 K 0.1630 0.5265 0.1576
3 K 0.8370 0.4735 0.8424
4 K 0.3370 0.8424 0.4735
5 Cu 0.7500 0.8986 0.1014
6 Cu 0.2500 0.1014 0.8986
7 Br 0.2500 0.4020 0.5980
8 Br 0.7500 0.5980 0.4020
9 Br 0.9496 0.8728 0.8062
10 Br 0.5504 0.1938 0.1272
11 Br 0.4496 0.8062 0.8728
12 Br 0.0504 0.1272 0.1938



[7]
Compound: K4CuBr5
Source: Alexandria
Functional: PBE
Structure: optimized geometry

Summary:
The symmetry is I4. As for the formation energy without anion corrections: -1.3709 eV/atom.

a = 6.6747 Å, b = 7.8894 Å, c = 7.8894 Å
α = 79.69°, β = 64.97°, γ = 64.97°
Sites, in units of the cell vectors:
1 K 0.4061 0.3924 0.7953
2 K 0.7984 0.7953 0.6076
3 K 0.2014 0.2047 0.3924
4 K 0.5937 0.6076 0.2047
5 Cu 0.0796 0.0000 0.0000
6 Br 0.9113 0.3501 0.8211
7 Br 0.2614 0.8211 0.6499
8 Br 0.7324 0.1789 0.3501
9 Br 0.0825 0.6499 0.1789
10 Br 0.4435 0.0000 0.0000



[8]
Compound: KCu2Br5
Source: Alexandria
Functional: PBE
Structure: optimized geometry

Summary:
The symmetry is Pmmn. As for the formation energy without anion corrections: -0.5933 eV/atom.

a = 3.9440 Å, b = 7.0371 Å, c = 19.4386 Å
α = 90.00°, β = 90.00°, γ = 90.00°
Sites, in units of the cell vectors:
1 K 0.5000 0.0252 0.0000
2 K 0.0000 0.9748 0.5000
3 Cu 0.0000 0.5298 0.8789
4 Cu 0.5000 0.4702 0.6211
5 Cu 0.5000 0.4702 0.3789
6 Cu 0.0000 0.5298 0.1211
7 Br 0.5000 0.5862 0.5000
8 Br 0.0000 0.4138 0.0000
9 Br 0.5000 0.3672 0.8392
10 Br 0.0000 0.6328 0.6608
11 Br 0.5000 0.3672 0.1608
12 Br 0.0000 0.6328 0.3392
13 Br 0.0000 0.8621 0.1239
14 Br 0.5000 0.1379 0.3761
15 Br 0.5000 0.1379 0.6239
16 Br 0.0000 0.8621 0.8761



Number 1: density of states at the Fermi level 14.49 states/eV per cell, uncorrected energy -0.0997 hartree per atom, mass density 2.80 g/cm³. Number 2: density of states at the Fermi level 6.81 states/eV per cell, uncorrected energy -0.1108 hartree per atom, mass density 3.63 g/cm³. Number 3: density of states at the Fermi level 13.04 states/eV per cell, uncorrected energy -0.1055 hartree per atom, mass density 2.90 g/cm³. Number 4: density of states at the Fermi level 0.00 states/eV per cell, uncorrected energy -0.1151 hartree per atom, mass density 3.36 g/cm³. Number 5: density of states at the Fermi level 9.23 states/eV per cell, uncorrected energy -0.1100 hartree per atom, mass density 3.16 g/cm³. Number 6: density of states at the Fermi level 0.00 states/eV per cell, uncorrected energy -0.1147 hartree per atom, mass density 3.07 g/cm³. Number 7: density of states at the Fermi level 0.00 states/eV per cell, uncorrected energy -0.1123 hartree per atom, mass density 3.02 g/cm³. Number 8: density of states at the Fermi level 17.55 states/eV per cell, uncorrected energy -0.1029 hartree per atom, mass density 3.48 g/cm³.